(1)
Crystalline LiPrSmSc at its relaxed geometry, computed with PBE-GGA.

Calculated values
**DFT formation energy**: 0.14 eV/atom
**Spin magnetization**: 0.00 μB per atom
**Crystal system**: cubic
**Raw total energy**: -4.299 eV per atom

```
data_LiPrSmSc
_space_group_name_H-M_alt 'F -4 3 m'
_space_group_IT_number 216
_space_group_name_Hall 'F -4 2 3'
_cell_length_a 7.7121
_cell_length_b 7.7121
_cell_length_c 7.7121
_cell_angle_alpha 90.00
_cell_angle_beta 90.00
_cell_angle_gamma 90.00
loop_
_atom_site_label
_atom_site_type_symbol
_atom_site_fract_x
_atom_site_fract_y
_atom_site_fract_z
_atom_site_occupancy
Li1 Li 0.0000 0.0000 0.0000 1
Pr1 Pr 0.2500 0.2500 0.2500 1
Sm1 Sm 0.2500 0.2500 0.7500 1
Sc1 Sc 0.0000 0.0000 0.5000 1
```

=====

(2)
Crystalline LiPrScSn2 at its relaxed geometry, computed with PBE-GGA.

Calculated values
**DFT formation energy**: -0.54 eV/atom
**Spin magnetization**: 0.00 μB per atom
**Crystal system**: tetragonal
**Raw total energy**: -4.750 eV per atom

```
data_LiPrScSn2
_space_group_name_H-M_alt 'I -4 m 2'
_space_group_IT_number 119
_space_group_name_Hall 'I -4 -2'
_cell_length_a 4.5074
_cell_length_b 4.5074
_cell_length_c 12.7747
_cell_angle_alpha 90.00
_cell_angle_beta 90.00
_cell_angle_gamma 90.00
loop_
_atom_site_label
_atom_site_type_symbol
_atom_site_fract_x
_atom_site_fract_y
_atom_site_fract_z
_atom_site_occupancy
Li1 Li 0.0000 0.0000 0.0000 1
Pr1 Pr 0.0000 0.5000 0.2500 1
Sc1 Sc 0.0000 0.0000 0.5000 1
Sn1 Sn 0.0000 0.5000 0.6383 1
```

=====

(3)
Crystalline Li2PrSc2Sn2 at its relaxed geometry, computed with PBE-GGA.

Calculated values
**DFT formation energy**: -0.48 eV/atom
**Spin magnetization**: 0.08 μB per atom
**Crystal system**: trigonal
**Raw total energy**: -4.662 eV per atom

```
data_Li2PrSc2Sn2
_space_group_name_H-M_alt 'R -3 m'
_space_group_IT_number 166
_space_group_name_Hall '-R 3 2"'
_cell_length_a 4.7292
_cell_length_b 4.7292
_cell_length_c 25.6910
_cell_angle_alpha 90.00
_cell_angle_beta 90.00
_cell_angle_gamma 120.00
loop_
_atom_site_label
_atom_site_type_symbol
_atom_site_fract_x
_atom_site_fract_y
_atom_site_fract_z
_atom_site_occupancy
Li1 Li 0.0000 0.0000 0.0726 1
Pr1 Pr 0.0000 0.0000 0.5000 1
Sc1 Sc 0.0000 0.0000 0.3661 1
Sn1 Sn 0.0000 0.0000 0.2450 1
```

=====

(4)
Crystalline LiPr3Sc2Te6 at its relaxed geometry, computed with PBE-GGA.

Calculated values
**Spin magnetization**: 0.00 μB per atom
**Crystal system**: monoclinic
**Raw total energy**: -5.273 eV per atom
**Formation energy from raw total energies**: -1.29 eV per atom

```
data_LiPr3Sc2Te6
_space_group_name_H-M_alt 'C 1 2/m 1'
_space_group_IT_number 12
_space_group_name_Hall '-C 2y'
_cell_length_a 19.0620
_cell_length_b 4.3404
_cell_length_c 8.7528
_cell_angle_alpha 90.00
_cell_angle_beta 103.78
_cell_angle_gamma 90.00
loop_
_atom_site_label
_atom_site_type_symbol
_atom_site_fract_x
_atom_site_fract_y
_atom_site_fract_z
_atom_site_occupancy
Li1 Li 0.0000 0.0000 0.0000 1
Pr1 Pr 0.0000 0.0000 0.5000 1
Pr2 Pr 0.1627 0.5000 0.8282 1
Sc1 Sc 0.1646 0.5000 0.3388 1
Te1 Te 0.0076 0.5000 0.2338 1
Te2 Te 0.1629 0.0000 0.1003 1
Te3 Te 0.1733 0.0000 0.5699 1
```